Compound: ThSnI2
Source: Alexandria
Functional: GGA-PBE
Structure: optimized geometry

Its crystal system is trigonal.

The space group is R-3m (No. 166, hexagonal axes) and the conventional cell measures 3.8130, 3.8130 and 34.0320 Å, with angles of 90.00, 90.00 and 120.00 degrees. The distinct sites, in fractional coordinates, are Th at (0.0000, 0.0000, 0.0000), Sn at (0.0000, 0.0000, 0.5000) and I at (0.0000, 0.0000, 0.4023).

Compound: ThSn2I8
Source: Alexandria
Functional: GGA-PBE
Structure: optimized geometry

Its crystal system is monoclinic.

The space group is C2/m (No. 12) and the conventional cell measures 15.3874, 8.4972 and 8.5178 Å, with angles of 90.00, 90.26 and 90.00 degrees. The distinct sites, in fractional coordinates, are Th at (0.0000, 0.0000, 0.0000), Sn at (0.1292, 0.0000, 0.5115), I at (0.0544, 0.2482, 0.7525), I at (0.1849, 0.0000, 0.1350) and I at (0.1989, 0.5000, 0.3789).

Compound: TiSnI2
Source: Alexandria
Functional: GGA-PBE
Structure: optimized geometry

The energy above the most stable polymorph in this dataset comes out at 108.7 meV/atom. Its crystal system is tetragonal.

The space group is I-42d (No. 122) and the conventional cell measures 10.1510, 10.1510 and 5.5998 Å, with angles of 90.00, 90.00 and 90.00 degrees. The distinct sites, in fractional coordinates, are Ti at (0.0000, 0.0000, 0.0000), Sn at (0.0000, 0.0000, 0.5000) and I at (0.1006, 0.2500, 0.1250).

Compound: TiSnI3
Source: Alexandria
Functional: GGA-PBE
Structure: optimized geometry

The energy above the most stable polymorph in this dataset comes out at 677.9 meV/atom. Its crystal system is cubic.

The space group is Pm-3m (No. 221) and the conventional cell measures 6.0840, 6.0840 and 6.0840 Å, with angles of 90.00, 90.00 and 90.00 degrees. The distinct sites, in fractional coordinates, are Ti at (0.0000, 0.0000, 0.0000), Sn at (0.5000, 0.5000, 0.5000) and I at (0.0000, 0.5000, 0.5000).

Compound: Ti2SnI8
Source: Alexandria
Functional: GGA-PBE
Structure: optimized geometry

Its crystal system is monoclinic.

The space group is C2/m (No. 12) and the conventional cell measures 14.7597, 10.5898 and 7.4283 Å, with angles of 90.00, 97.22 and 90.00 degrees. The distinct sites, in fractional coordinates, are Ti at (0.1927, 0.0000, 0.1371), Sn at (0.0000, 0.0000, 0.5000), I at (0.1011, 0.1923, 0.2601), I at (0.1377, 0.5000, 0.7211) and I at (0.1869, 0.0000, 0.7786).

Compound: TiSnI2
Source: Alexandria
Functional: GGA-PBE
Structure: optimized geometry

The energy above the most stable polymorph in this dataset comes out at 0.0 meV/atom. Its crystal system is trigonal.

The space group is R-3m (No. 166, hexagonal axes) and the conventional cell measures 3.6913, 3.6913 and 31.2792 Å, with angles of 90.00, 90.00 and 120.00 degrees. The distinct sites, in fractional coordinates, are Ti at (0.0000, 0.0000, 0.0000), Sn at (0.0000, 0.0000, 0.5000) and I at (0.0000, 0.0000, 0.3921).

Compound: TiSn2I8
Source: Alexandria
Functional: GGA-PBE
Structure: optimized geometry

Its crystal system is monoclinic.

The space group is C2/m (No. 12) and the conventional cell measures 14.2685, 7.9293 and 9.4010 Å, with angles of 90.00, 98.41 and 90.00 degrees. The distinct sites, in fractional coordinates, are Ti at (0.0000, 0.0000, 0.0000), Sn at (0.1390, 0.0000, 0.3909), I at (0.1023, 0.0000, 0.7779), I at (0.1201, 0.2451, 0.1419) and I at (0.1584, 0.5000, 0.5563).

Compound: Ti2SnI
Source: Alexandria
Functional: GGA-PBE
Structure: optimized geometry

The energy above the most stable polymorph in this dataset comes out at 0.0 meV/atom. Its crystal system is cubic.

The space group is Fm-3m (No. 225) and the conventional cell measures 6.9019, 6.9019 and 6.9019 Å, with angles of 90.00, 90.00 and 90.00 degrees. The distinct sites, in fractional coordinates, are Ti at (0.2500, 0.2500, 0.2500), Sn at (0.0000, 0.0000, 0.0000) and I at (0.0000, 0.0000, 0.5000).

Compound: TiSnI2
Source: Alexandria
Functional: GGA-PBE
Structure: optimized geometry

The energy above the most stable polymorph in this dataset comes out at 455.2 meV/atom. Its crystal system is cubic.

The space group is Fm-3m (No. 225) and the conventional cell measures 7.5516, 7.5516 and 7.5516 Å, with angles of 90.00, 90.00 and 90.00 degrees. The distinct sites, in fractional coordinates, are Ti at (0.0000, 0.0000, 0.0000), Sn at (0.0000, 0.0000, 0.5000) and I at (0.2500, 0.2500, 0.2500).

Compound: TiSn2I2
Source: Alexandria
Functional: GGA-PBE
Structure: optimized geometry

The energy above the most stable polymorph in this dataset comes out at 40.2 meV/atom. Its crystal system is tetragonal.

The space group is P4/mbm (No. 127) and the conventional cell measures 7.3287, 7.3287 and 6.3706 Å, with angles of 90.00, 90.00 and 90.00 degrees. The distinct sites, in fractional coordinates, are Ti at (0.0000, 0.0000, 0.0000), Sn at (0.2378, 0.2622, 0.5000) and I at (0.1724, 0.3276, 0.0000).

Compound: TiSn3I
Source: Alexandria
Functional: GGA-PBE
Structure: optimized geometry

The energy above the most stable polymorph in this dataset comes out at 0.0 meV/atom. Its crystal system is cubic.

The space group is Pm-3m (No. 221) and the conventional cell measures 5.4316, 5.4316 and 5.4316 Å, with angles of 90.00, 90.00 and 90.00 degrees. The distinct sites, in fractional coordinates, are Ti at (0.0000, 0.0000, 0.0000), Sn at (0.0000, 0.0000, 0.5000) and I at (0.5000, 0.5000, 0.5000).

Compound: TiSn3I
Source: Alexandria
Functional: GGA-PBE
Structure: optimized geometry

The energy above the most stable polymorph in this dataset comes out at 1132.3 meV/atom. Its crystal system is cubic.

The space group is Pm-3m (No. 221) and the conventional cell measures 5.7270, 5.7270 and 5.7270 Å, with angles of 90.00, 90.00 and 90.00 degrees. The distinct sites, in fractional coordinates, are Ti at (0.0000, 0.0000, 0.0000), Sn at (0.0000, 0.5000, 0.5000) and I at (0.5000, 0.5000, 0.5000).

Listing spin magnetization for the structures above in their given order: 0.0; 0.0; 1.6; 0.3; 2.0; 0.4; 0.0; 0.0; 0.9; 2.0; 1.1; 0.0 μB/f.u..
Listing formation energy (no corrections) for the structures above in their given order: -0.536; -0.774; -0.087; 0.570; -0.602; -0.196; -0.527; 0.099; 0.259; 0.186; 0.178; 1.310 eV per atom.